{
  "formula": "Ba5In2H2",
  "functional": "GGA-PBE",
  "state": "optimized geometry",
  "lattice": [[-11.109, 4.003, 3.923], [11.109, -4.003, 3.923], [11.109, 4.003, -3.923]],
  "species": ["Ba", "Ba", "Ba", "Ba", "Ba", "Ba", "Ba", "Ba", "Ba", "Ba", "In", "In", "In", "In", "H", "H", "H", "H"],
  "frac_coords": [[0.225, 0.418, 0.097], [0.225, 0.629, 0.307], [0.245, 0.009, 0.254], [0.245, 0.491, 0.736], [0.321, 0.129, 0.903], [0.321, 0.918, 0.693], [0.738, 0.596, 0.642], [0.755, 0.509, 0.264], [0.755, 0.991, 0.746], [0.954, 0.096, 0.358], [0.738, 0.142, 0.389], [0.738, 0.849, 0.096], [0.753, 0.349, 0.611], [0.753, 0.642, 0.904], [0.098, 0.941, 0.656], [0.255, 0.255, 0.000], [0.255, 0.755, 0.500], [0.285, 0.441, 0.344]],
  "de_polymorph_mev_per_atom": 17,
  "dft_energy_ev_per_cell": -49.3,
  "magmom_total_mub_per_fu": 0.000,
  "spacegroup": "Ima2 (46)"
}